# 1
DFT (PBE) results for an optimized crystal structure of RbCd2GaGe.

SG: No. 123
density of states at the Fermi level: 0.699 states/eV/atom
formation energy: 0.167 eV/atom
raw total energy: -0.07062 Ha/atom
volume: 166.6 Å³/cell

Unit cell a=5.666 b=5.666 c=5.188 alpha=90.00 beta=90.00 gamma=90.00
Fractional coordinates of all 5 atoms:
1 Ge 0.000 0.000 0.000
2 Cd 0.000 0.500 0.000
3 Cd 0.500 0.000 0.000
4 Rb 0.500 0.500 0.500
5 Ga 0.000 0.000 0.500


# 2
DFT (PBE) results for an optimized crystal structure of Cd2GaGe2Rh5.

SG: No. 127
density of states at the Fermi level: 0.302 states/eV/atom
formation energy: -0.357 eV/atom
raw total energy: -0.19999 Ha/atom
volume: 319.7 Å³/cell

Unit cell a=3.317 b=9.817 c=9.817 alpha=90.00 beta=90.00 gamma=90.00
Fractional coordinates of all 20 atoms:
1 Ge 0.000 0.369 0.131
2 Ge 0.000 0.631 0.869
3 Ge 0.000 0.131 0.631
4 Ge 0.000 0.869 0.369
5 Rh 0.500 0.696 0.426
6 Rh 0.500 0.196 0.074
7 Rh 0.500 0.574 0.696
8 Rh 0.500 0.000 0.500
9 Rh 0.500 0.804 0.926
10 Rh 0.500 0.426 0.304
11 Rh 0.500 0.500 0.000
12 Rh 0.500 0.304 0.574
13 Rh 0.500 0.926 0.196
14 Rh 0.500 0.074 0.804
15 Cd 0.000 0.171 0.329
16 Cd 0.000 0.829 0.671
17 Cd 0.000 0.329 0.829
18 Cd 0.000 0.671 0.171
19 Ga 0.000 0.500 0.500
20 Ga 0.000 0.000 0.000


# 3
DFT (PBE) results for an optimized crystal structure of Sc2CdGaGe.

SG: No. 123
density of states at the Fermi level: 1.454 states/eV/atom
formation energy: 0.185 eV/atom
raw total energy: -0.14918 Ha/atom
volume: 124.9 Å³/cell

Unit cell a=5.124 b=4.758 c=5.124 alpha=90.00 beta=90.00 gamma=90.00
Fractional coordinates of all 5 atoms:
1 Sc 0.000 0.000 0.500
2 Sc 0.500 0.000 0.000
3 Cd 0.500 0.500 0.500
4 Ga 0.000 0.000 0.000
5 Ge 0.000 0.500 0.000


# 4
DFT (PBE) results for an optimized crystal structure of CdGaSnGe.

SG: No. 216
density of states at the Fermi level: 0.466 states/eV/atom
formation energy: 0.139 eV/atom
raw total energy: -0.11029 Ha/atom
volume: 90.4 Å³/cell

Unit cell a=5.037 b=5.037 c=5.037 alpha=60.00 beta=60.00 gamma=60.00
Fractional coordinates of all 4 atoms:
1 Ge 0.250 0.250 0.250
2 Sn 0.000 0.000 0.000
3 Cd 0.500 0.500 0.500
4 Ga 0.750 0.750 0.750


# 5
DFT (PBE) results for an optimized crystal structure of SrCdGa2Ge.

SG: No. 44
density of states at the Fermi level: 0.345 states/eV/atom
formation energy: -0.341 eV/atom
raw total energy: -0.11004 Ha/atom
volume: 116.9 Å³/cell

Unit cell a=4.528 b=4.652 c=6.428 alpha=111.21 beta=110.62 gamma=90.00
Fractional coordinates of all 5 atoms:
1 Sr 0.439 0.439 0.877
2 Ga 0.060 0.060 0.119
3 Ga 0.694 0.194 0.388
4 Ge 0.832 0.832 0.664
5 Cd 0.188 0.688 0.376


# 6
DFT (PBE) results for an optimized crystal structure of Sr2Cd4GaGe3.

SG: No. 115
density of states at the Fermi level: 0.267 states/eV/atom
formation energy: -0.297 eV/atom
raw total energy: -0.09875 Ha/atom
volume: 245.7 Å³/cell

Unit cell a=4.576 b=4.576 c=11.734 alpha=90.00 beta=90.00 gamma=90.00
Fractional coordinates of all 10 atoms:
1 Cd 0.500 0.000 0.634
2 Cd 0.500 0.500 0.000
3 Cd 0.000 0.000 0.000
4 Cd 0.000 0.500 0.366
5 Ga 0.500 0.500 0.500
6 Ge 0.500 0.000 0.860
7 Ge 0.000 0.000 0.500
8 Ge 0.000 0.500 0.140
9 Sr 0.500 0.000 0.249
10 Sr 0.000 0.500 0.751